Density functional theory data (PBE) for YTm4Sc3 after structural relaxation.

Structure (CIF):
```
data_YTm4Sc3
_space_group_name_H-M_alt 'P 1'
_space_group_IT_number 1
_cell_length_a 6.0267
_cell_length_b 6.9648
_cell_length_c 10.8103
_cell_angle_alpha 90.00
_cell_angle_beta 90.00
_cell_angle_gamma 90.00
loop_
_space_group_symop_operation_xyz
'x,y,z'
loop_
_atom_site_label
_atom_site_type_symbol
_atom_site_fract_x
_atom_site_fract_y
_atom_site_fract_z
_atom_site_occupancy
Y1 Y 0.7718 0.1308 0.0000 1
Y2 Y 0.2718 0.8692 0.5000 1
Tm1 Tm 0.2669 0.8700 0.0000 1
Tm2 Tm 0.2764 0.3816 0.0000 1
Tm3 Tm 0.1088 0.1312 0.2531 1
Tm4 Tm 0.6088 0.8688 0.2469 1
Tm5 Tm 0.7764 0.6184 0.5000 1
Tm6 Tm 0.7669 0.1300 0.5000 1
Tm7 Tm 0.6088 0.8688 0.7531 1
Tm8 Tm 0.1088 0.1312 0.7469 1
Sc1 Sc 0.7750 0.6211 0.0000 1
Sc2 Sc 0.1037 0.6199 0.2494 1
Sc3 Sc 0.6037 0.3801 0.2506 1
Sc4 Sc 0.2750 0.3789 0.5000 1
Sc5 Sc 0.6037 0.3801 0.7494 1
Sc6 Sc 0.1037 0.6199 0.7506 1
```

The crystal system is orthorhombic. Its space group is Pmn2_1, No. 31. As for the total energy: -5.399 eV per atom. For the total moment, the calculation gives 0.00 μB per formula unit.